[1]
# GGA-PBE MgFeCl4, relaxed
# offset from the most stable computed form	1.8289	eV per atom
# space-group type	No. 216
# density of states at the Fermi level	11.42	states/eV/f.u.
data_MgFeCl4
_cell_length_a 5.860
_cell_length_b 5.860
_cell_length_c 5.860
_cell_angle_alpha 60.00
_cell_angle_beta 60.00
_cell_angle_gamma 60.00
_symmetry_space_group_name_H-M 'P 1'
_symmetry_Int_Tables_number 1
loop_
_symmetry_equiv_pos_as_xyz
'x,y,z'
loop_
_atom_site_label
_atom_site_fract_x
_atom_site_fract_y
_atom_site_fract_z
_atom_site_occupancy
Mg1 0.000 0.000 0.000 1
Fe1 0.750 0.750 0.750 1
Cl1 0.875 0.375 0.375 1
Cl2 0.375 0.375 0.875 1
Cl3 0.375 0.875 0.375 1
Cl4 0.375 0.375 0.375 1

=====

[2]
# GGA-PBE CsAgH3F6, relaxed
# calculated total energy	-0.2938	Ry per atom
# space-group type	No. 148
# density of states at the Fermi level	6.50	states/eV/f.u.
data_CsAgH3F6
_cell_length_a 5.527
_cell_length_b 5.527
_cell_length_c 5.527
_cell_angle_alpha 84.02
_cell_angle_beta 95.98
_cell_angle_gamma 84.02
_symmetry_space_group_name_H-M 'P 1'
_symmetry_Int_Tables_number 1
loop_
_symmetry_equiv_pos_as_xyz
'x,y,z'
loop_
_atom_site_label
_atom_site_fract_x
_atom_site_fract_y
_atom_site_fract_z
_atom_site_occupancy
Cs1 0.552 0.448 0.552 1
Ag1 0.052 0.948 0.052 1
H1 0.552 0.948 0.052 1
H2 0.052 0.448 0.052 1
H3 0.052 0.948 0.552 1
F1 0.206 0.563 0.006 1
F2 0.437 0.994 0.206 1
F3 0.098 0.102 0.667 1
F4 0.898 0.333 0.098 1
F5 0.667 0.902 0.898 1
F6 0.006 0.794 0.437 1

=====

[3]
# GGA-PBE La8Pm3Er3, relaxed
# DFT formation energy	0.0910	eV per atom
# space-group type	No. 71
# density of states at the Fermi level	20.01	states/eV/f.u.
data_La8Pm3Er3
_cell_length_a 5.764
_cell_length_b 9.913
_cell_length_c 9.913
_cell_angle_alpha 102.12
_cell_angle_beta 73.10
_cell_angle_gamma 73.10
_symmetry_space_group_name_H-M 'P 1'
_symmetry_Int_Tables_number 1
loop_
_symmetry_equiv_pos_as_xyz
'x,y,z'
loop_
_atom_site_label
_atom_site_fract_x
_atom_site_fract_y
_atom_site_fract_z
_atom_site_occupancy
La1 0.658 0.115 0.568 1
La2 0.342 0.885 0.432 1
La3 0.658 0.568 0.115 1
La4 0.342 0.432 0.885 1
La5 0.837 0.768 0.557 1
La6 0.163 0.232 0.443 1
La7 0.837 0.557 0.768 1
La8 0.163 0.443 0.232 1
Pm1 0.500 0.000 0.000 1
Pm2 0.000 0.823 0.177 1
Pm3 0.000 0.177 0.823 1
Er1 0.500 0.500 0.500 1
Er2 0.800 0.200 0.200 1
Er3 0.200 0.800 0.800 1

=====

[4]
# GGA-PBE TbSmPa2N4, relaxed
# calculated total energy	-0.6860	Ry per atom
# space-group type	No. 10
# density of states at the Fermi level	4.01	states/eV/f.u.
data_TbSmPa2N4
_cell_length_a 3.521
_cell_length_b 6.110
_cell_length_c 6.094
_cell_angle_alpha 109.57
_cell_angle_beta 90.00
_cell_angle_gamma 90.00
_symmetry_space_group_name_H-M 'P 1'
_symmetry_Int_Tables_number 1
loop_
_symmetry_equiv_pos_as_xyz
'x,y,z'
loop_
_atom_site_label
_atom_site_fract_x
_atom_site_fract_y
_atom_site_fract_z
_atom_site_occupancy
Tb1 0.000 0.000 0.000 1
Sm1 0.500 0.500 0.000 1
Pa1 0.500 0.000 0.500 1
Pa2 0.000 0.500 0.500 1
N1 0.500 0.252 0.270 1
N2 0.500 0.748 0.730 1
N3 0.000 0.237 0.726 1
N4 0.000 0.763 0.274 1

=====

[5]
# GGA-PBE ErRe2O8, relaxed
# offset from the most stable computed form	0.0000	eV per atom
# space-group type	No. 164
# density of states at the Fermi level	5.71	states/eV/f.u.
data_ErRe2O8
_cell_length_a 6.107
_cell_length_b 6.107
_cell_length_c 6.638
_cell_angle_alpha 90.00
_cell_angle_beta 90.00
_cell_angle_gamma 120.00
_symmetry_space_group_name_H-M 'P 1'
_symmetry_Int_Tables_number 1
loop_
_symmetry_equiv_pos_as_xyz
'x,y,z'
loop_
_atom_site_label
_atom_site_fract_x
_atom_site_fract_y
_atom_site_fract_z
_atom_site_occupancy
Er1 0.000 0.000 0.000 1
Re1 0.667 0.333 0.721 1
Re2 0.333 0.667 0.279 1
O1 0.351 0.175 0.815 1
O2 0.175 0.825 0.185 1
O3 0.175 0.351 0.185 1
O4 0.667 0.333 0.459 1
O5 0.333 0.667 0.541 1
O6 0.825 0.649 0.815 1
O7 0.825 0.175 0.815 1
O8 0.649 0.825 0.185 1

=====

[6]
# GGA-PBE YHg2Ir, relaxed
# offset from the most stable computed form	0.0944	eV per atom
# DFT formation energy	-0.1671	eV per atom
# space-group type	No. 10
# density of states at the Fermi level	2.25	states/eV/f.u.
data_YHg2Ir
_cell_length_a 4.245
_cell_length_b 4.093
_cell_length_c 6.358
_cell_angle_alpha 50.05
_cell_angle_beta 90.00
_cell_angle_gamma 90.00
_symmetry_space_group_name_H-M 'P 1'
_symmetry_Int_Tables_number 1
loop_
_symmetry_equiv_pos_as_xyz
'x,y,z'
loop_
_atom_site_label
_atom_site_fract_x
_atom_site_fract_y
_atom_site_fract_z
_atom_site_occupancy
Hg1 0.000 0.000 0.000 1
Hg2 0.500 0.500 0.000 1
Ir1 0.500 0.500 0.500 1
Y1 0.000 0.000 0.500 1

=====

[7]
# GGA-PBE MgRh, relaxed
# DFT formation energy	-0.2945	eV per atom
# space-group type	No. 59
# density of states at the Fermi level	1.57	states/eV/f.u.
data_MgRh
_cell_length_a 3.091
_cell_length_b 4.719
_cell_length_c 4.275
_cell_angle_alpha 90.00
_cell_angle_beta 90.00
_cell_angle_gamma 90.00
_symmetry_space_group_name_H-M 'P 1'
_symmetry_Int_Tables_number 1
loop_
_symmetry_equiv_pos_as_xyz
'x,y,z'
loop_
_atom_site_label
_atom_site_fract_x
_atom_site_fract_y
_atom_site_fract_z
_atom_site_occupancy
Mg1 0.000 0.000 0.968 1
Mg2 0.500 0.500 0.865 1
Rh1 0.500 0.000 0.462 1
Rh2 0.000 0.500 0.371 1

=====

[8]
# GGA-PBE Ac3HoZn8, relaxed
# DFT formation energy	-0.2189	eV per atom
# space-group type	No. 156
# density of states at the Fermi level	7.55	states/eV/f.u.
data_Ac3HoZn8
_cell_length_a 5.869
_cell_length_b 5.869
_cell_length_c 8.995
_cell_angle_alpha 90.00
_cell_angle_beta 90.00
_cell_angle_gamma 120.00
_symmetry_space_group_name_H-M 'P 1'
_symmetry_Int_Tables_number 1
loop_
_symmetry_equiv_pos_as_xyz
'x,y,z'
loop_
_atom_site_label
_atom_site_fract_x
_atom_site_fract_y
_atom_site_fract_z
_atom_site_occupancy
Ac1 0.667 0.333 0.453 1
Ac2 0.667 0.333 0.051 1
Ac3 0.000 0.000 0.936 1
Ho1 0.000 0.000 0.554 1
Zn1 0.333 0.667 0.493 1
Zn2 0.333 0.667 0.010 1
Zn3 0.490 0.979 0.745 1
Zn4 0.490 0.510 0.745 1
Zn5 0.021 0.510 0.745 1
Zn6 0.165 0.330 0.256 1
Zn7 0.165 0.835 0.256 1
Zn8 0.670 0.835 0.256 1

=====

[9]
# GGA-PBE Tl2Se4N3, relaxed
# calculated total energy	-0.3157	Ry per atom
# space-group type	No. 2
# density of states at the Fermi level	0.01	states/eV/f.u.
data_Tl2Se4N3
_cell_length_a 7.185
_cell_length_b 11.502
_cell_length_c 11.929
_cell_angle_alpha 37.26
_cell_angle_beta 118.55
_cell_angle_gamma 121.97
_symmetry_space_group_name_H-M 'P 1'
_symmetry_Int_Tables_number 1
loop_
_symmetry_equiv_pos_as_xyz
'x,y,z'
loop_
_atom_site_label
_atom_site_fract_x
_atom_site_fract_y
_atom_site_fract_z
_atom_site_occupancy
Tl1 0.276 0.102 0.615 1
Tl2 0.045 0.498 0.864 1
Tl3 0.724 0.898 0.385 1
Tl4 0.955 0.502 0.136 1
Se1 0.336 0.644 0.313 1
Se2 0.832 0.609 0.326 1
Se3 0.664 0.356 0.687 1
Se4 0.168 0.391 0.674 1
Se5 0.802 0.984 0.751 1
Se6 0.435 0.416 0.886 1
Se7 0.198 0.016 0.249 1
Se8 0.565 0.584 0.114 1
N1 0.017 0.137 0.152 1
N2 0.575 0.844 0.878 1
N3 0.983 0.863 0.848 1
N4 0.425 0.156 0.122 1
N5 0.277 0.398 0.552 1
N6 0.723 0.602 0.448 1

=====

[10]
# GGA-PBE Ag2PdS, relaxed
# calculated total energy	-0.2486	Ry per atom
# space-group type	No. 166
# density of states at the Fermi level	2.01	states/eV/f.u.
data_Ag2PdS
_cell_length_a 2.866
_cell_length_b 2.866
_cell_length_c 10.101
_cell_angle_alpha 81.85
_cell_angle_beta 81.85
_cell_angle_gamma 60.00
_symmetry_space_group_name_H-M 'P 1'
_symmetry_Int_Tables_number 1
loop_
_symmetry_equiv_pos_as_xyz
'x,y,z'
loop_
_atom_site_label
_atom_site_fract_x
_atom_site_fract_y
_atom_site_fract_z
_atom_site_occupancy
S1 0.500 0.500 0.500 1
Pd1 0.000 0.000 0.000 1
Ag1 0.090 0.090 0.730 1
Ag2 0.910 0.910 0.270 1

=====

[11]
# GGA-PBE Mg4Cu3Rh, relaxed
# DFT formation energy	-0.2083	eV per atom
# space-group type	No. 51
# density of states at the Fermi level	3.52	states/eV/f.u.
data_Mg4Cu3Rh
_cell_length_a 4.524
_cell_length_b 6.068
_cell_length_c 9.032
_cell_angle_alpha 90.00
_cell_angle_beta 90.00
_cell_angle_gamma 90.00
_symmetry_space_group_name_H-M 'P 1'
_symmetry_Int_Tables_number 1
loop_
_symmetry_equiv_pos_as_xyz
'x,y,z'
loop_
_atom_site_label
_atom_site_fract_x
_atom_site_fract_y
_atom_site_fract_z
_atom_site_occupancy
Mg1 0.500 0.747 0.000 1
Mg2 0.500 0.747 0.500 1
Mg3 0.500 0.253 0.000 1
Mg4 0.500 0.253 0.500 1
Mg5 0.006 0.747 0.750 1
Mg6 0.994 0.747 0.250 1
Mg7 0.994 0.253 0.250 1
Mg8 0.006 0.253 0.750 1
Rh1 0.000 0.500 0.000 1
Rh2 0.000 0.500 0.500 1
Cu1 0.000 0.000 0.000 1
Cu2 0.000 0.000 0.500 1
Cu3 0.508 0.000 0.750 1
Cu4 0.492 0.000 0.250 1
Cu5 0.509 0.500 0.750 1
Cu6 0.491 0.500 0.250 1

=====

[12]
# GGA-PBE Zn3Mo2, relaxed
# offset from the most stable computed form	0.0137	eV per atom
# DFT formation energy	0.2155	eV per atom
# space-group type	No. 166
# density of states at the Fermi level	3.76	states/eV/f.u.
data_Zn3Mo2
_cell_length_a 11.424
_cell_length_b 11.424
_cell_length_c 11.424
_cell_angle_alpha 14.04
_cell_angle_beta 14.04
_cell_angle_gamma 14.04
_symmetry_space_group_name_H-M 'P 1'
_symmetry_Int_Tables_number 1
loop_
_symmetry_equiv_pos_as_xyz
'x,y,z'
loop_
_atom_site_label
_atom_site_fract_x
_atom_site_fract_y
_atom_site_fract_z
_atom_site_occupancy
Zn1 0.000 0.000 0.000 1
Zn2 0.800 0.800 0.800 1
Zn3 0.200 0.200 0.200 1
Mo1 0.600 0.600 0.600 1
Mo2 0.400 0.400 0.400 1

=====

[13]
# GGA-PBE FeN2Cl, relaxed
# offset from the most stable computed form	1.1705	eV per atom
# space-group type	No. 166
# density of states at the Fermi level	4.64	states/eV/f.u.
data_FeN2Cl
_cell_length_a 6.527
_cell_length_b 6.527
_cell_length_c 6.527
_cell_angle_alpha 26.52
_cell_angle_beta 26.52
_cell_angle_gamma 26.52
_symmetry_space_group_name_H-M 'P 1'
_symmetry_Int_Tables_number 1
loop_
_symmetry_equiv_pos_as_xyz
'x,y,z'
loop_
_atom_site_label
_atom_site_fract_x
_atom_site_fract_y
_atom_site_fract_z
_atom_site_occupancy
N1 0.911 0.911 0.911 1
N2 0.089 0.089 0.089 1
Fe1 0.000 0.000 0.000 1
Cl1 0.500 0.500 0.500 1

=====

[14]
# GGA-PBE NaHg4F12, relaxed
# calculated total energy	-0.2080	Ry per atom
# space-group type	No. 204
# density of states at the Fermi level	3.12	states/eV/f.u.
data_NaHg4F12
_cell_length_a 7.480
_cell_length_b 7.480
_cell_length_c 7.480
_cell_angle_alpha 109.47
_cell_angle_beta 109.47
_cell_angle_gamma 109.47
_symmetry_space_group_name_H-M 'P 1'
_symmetry_Int_Tables_number 1
loop_
_symmetry_equiv_pos_as_xyz
'x,y,z'
loop_
_atom_site_label
_atom_site_fract_x
_atom_site_fract_y
_atom_site_fract_z
_atom_site_occupancy
Na1 0.000 0.000 0.000 1
Hg1 0.000 0.500 0.000 1
Hg2 0.500 0.000 0.000 1
Hg3 0.500 0.500 0.500 1
Hg4 0.000 0.000 0.500 1
F1 0.798 0.261 0.059 1
F2 0.261 0.463 0.202 1
F3 0.941 0.202 0.739 1
F4 0.261 0.059 0.798 1
F5 0.059 0.798 0.261 1
F6 0.739 0.537 0.798 1
F7 0.463 0.202 0.261 1
F8 0.537 0.798 0.739 1
F9 0.739 0.941 0.202 1
F10 0.798 0.739 0.537 1
F11 0.202 0.261 0.463 1
F12 0.202 0.739 0.941 1

=====

[15]
# GGA-PBE Y2AgPt2, relaxed
# offset from the most stable computed form	0.3096	eV per atom
# DFT formation energy	-0.6790	eV per atom
# space-group type	No. 139
# density of states at the Fermi level	1.68	states/eV/f.u.
data_Y2AgPt2
_cell_length_a 3.890
_cell_length_b 3.890
_cell_length_c 8.221
_cell_angle_alpha 76.31
_cell_angle_beta 76.31
_cell_angle_gamma 90.00
_symmetry_space_group_name_H-M 'P 1'
_symmetry_Int_Tables_number 1
loop_
_symmetry_equiv_pos_as_xyz
'x,y,z'
loop_
_atom_site_label
_atom_site_fract_x
_atom_site_fract_y
_atom_site_fract_z
_atom_site_occupancy
Y1 0.385 0.385 0.230 1
Y2 0.615 0.615 0.770 1
Ag1 0.000 0.000 0.000 1
Pt1 0.750 0.250 0.500 1
Pt2 0.250 0.750 0.500 1

=====

[16]
# GGA-PBE ZrSb2TeO, relaxed
# offset from the most stable computed form	0.0000	eV per atom
# space-group type	No. 123
# density of states at the Fermi level	3.64	states/eV/f.u.
data_ZrSb2TeO
_cell_length_a 4.617
_cell_length_b 4.617
_cell_length_c 5.107
_cell_angle_alpha 90.00
_cell_angle_beta 90.00
_cell_angle_gamma 90.00
_symmetry_space_group_name_H-M 'P 1'
_symmetry_Int_Tables_number 1
loop_
_symmetry_equiv_pos_as_xyz
'x,y,z'
loop_
_atom_site_label
_atom_site_fract_x
_atom_site_fract_y
_atom_site_fract_z
_atom_site_occupancy
Sb1 0.000 0.500 0.000 1
Sb2 0.500 0.000 0.000 1
Te1 0.000 0.000 0.500 1
O1 0.000 0.000 0.000 1
Zr1 0.500 0.500 0.500 1

=====

[17]
# GGA-PBE Tb7Pd2Ru2, relaxed
# offset from the most stable computed form	0.0000	eV per atom
# DFT formation energy	-0.4981	eV per atom
# space-group type	No. 44
# density of states at the Fermi level	8.56	states/eV/f.u.
data_Tb7Pd2Ru2
_cell_length_a 3.985
_cell_length_b 8.995
_cell_length_c 8.995
_cell_angle_alpha 61.69
_cell_angle_beta 77.20
_cell_angle_gamma 77.20
_symmetry_space_group_name_H-M 'P 1'
_symmetry_Int_Tables_number 1
loop_
_symmetry_equiv_pos_as_xyz
'x,y,z'
loop_
_atom_site_label
_atom_site_fract_x
_atom_site_fract_y
_atom_site_fract_z
_atom_site_occupancy
Tb1 0.816 0.080 0.289 1
Tb2 0.861 0.406 0.872 1
Tb3 0.500 0.012 0.988 1
Tb4 0.619 0.484 0.277 1
Tb5 0.381 0.723 0.516 1
Tb6 0.184 0.711 0.920 1
Tb7 0.139 0.128 0.594 1
Pd1 0.000 0.774 0.226 1
Pd2 0.500 0.345 0.655 1
Ru1 0.740 0.855 0.665 1
Ru2 0.260 0.335 0.145 1

=====

[18]
# GGA-PBE SrU3Tl4S12, relaxed
# calculated total energy	-0.4176	Ry per atom
# space-group type	No. 229
data_SrU3Tl4S12
_cell_length_a 9.099
_cell_length_b 9.099
_cell_length_c 9.099
_cell_angle_alpha 109.47
_cell_angle_beta 109.47
_cell_angle_gamma 109.47
_symmetry_space_group_name_H-M 'P 1'
_symmetry_Int_Tables_number 1
loop_
_symmetry_equiv_pos_as_xyz
'x,y,z'
loop_
_atom_site_label
_atom_site_fract_x
_atom_site_fract_y
_atom_site_fract_z
_atom_site_occupancy
Sr1 0.000 0.000 0.000 1
U1 0.500 0.000 0.500 1
U2 0.500 0.500 0.000 1
U3 0.000 0.500 0.500 1
Tl1 0.500 0.500 0.500 1
Tl2 0.000 0.000 0.500 1
Tl3 0.500 0.000 0.000 1
Tl4 0.000 0.500 0.000 1
S1 0.250 0.500 0.750 1
S2 0.731 0.000 0.731 1
S3 0.269 0.000 0.269 1
S4 0.750 0.500 0.250 1
S5 0.731 0.731 0.000 1
S6 0.269 0.269 0.000 1
S7 0.750 0.250 0.500 1
S8 0.250 0.750 0.500 1
S9 0.500 0.250 0.750 1
S10 0.000 0.731 0.731 1
S11 0.500 0.750 0.250 1
S12 0.000 0.269 0.269 1

=====

[19]
# GGA-PBE SmTlGa, relaxed
# offset from the most stable computed form	0.1397	eV per atom
# DFT formation energy	-0.2488	eV per atom
# space-group type	No. 107
# density of states at the Fermi level	2.59	states/eV/f.u.
data_SmTlGa
_cell_length_a 3.557
_cell_length_b 3.557
_cell_length_c 6.506
_cell_angle_alpha 105.86
_cell_angle_beta 105.86
_cell_angle_gamma 90.00
_symmetry_space_group_name_H-M 'P 1'
_symmetry_Int_Tables_number 1
loop_
_symmetry_equiv_pos_as_xyz
'x,y,z'
loop_
_atom_site_label
_atom_site_fract_x
_atom_site_fract_y
_atom_site_fract_z
_atom_site_occupancy
Tl1 0.934 0.934 0.869 1
Sm1 0.628 0.628 0.257 1
Ga1 0.287 0.287 0.574 1

=====

[20]
# GGA-PBE CsKAsO2, relaxed
# calculated total energy	-0.3098	Ry per atom
# space-group type	No. 13
# density of states at the Fermi level	3.88	states/eV/f.u.
data_CsKAsO2
_cell_length_a 5.970
_cell_length_b 6.681
_cell_length_c 7.682
_cell_angle_alpha 91.07
_cell_angle_beta 90.00
_cell_angle_gamma 90.00
_symmetry_space_group_name_H-M 'P 1'
_symmetry_Int_Tables_number 1
loop_
_symmetry_equiv_pos_as_xyz
'x,y,z'
loop_
_atom_site_label
_atom_site_fract_x
_atom_site_fract_y
_atom_site_fract_z
_atom_site_occupancy
Cs1 0.025 0.500 0.750 1
Cs2 0.975 0.500 0.250 1
K1 0.498 0.000 0.250 1
K2 0.502 0.000 0.750 1
As1 0.000 0.000 0.000 1
As2 0.000 0.000 0.500 1
O1 0.772 0.810 0.996 1
O2 0.772 0.190 0.504 1
O3 0.228 0.810 0.496 1
O4 0.228 0.190 0.004 1